(1)
# CrNi2 GGA-PBEsol relaxed
# magnetic moment	0.9	Bohr magnetons per cell
# space-group type	No. 139
# energy of formation	71	meV per atom
data_CrNi2
_chemical_formula_sum 'Cr1 Ni2'
_cell_length_a 2.9250
_cell_length_b 2.9250
_cell_length_c 4.2795
_cell_angle_alpha 109.98
_cell_angle_beta 109.98
_cell_angle_gamma 90.00
_symmetry_space_group_name_H-M 'P 1'
_symmetry_Int_Tables_number 1
loop_
_symmetry_equiv_pos_as_xyz
'x,y,z'
loop_
_atom_site_label
_atom_site_type_symbol
_atom_site_fract_x
_atom_site_fract_y
_atom_site_fract_z
Ni1 Ni 0.3344 0.3344 0.6688
Ni2 Ni 0.6656 0.6656 0.3312
Cr1 Cr 0.0000 0.0000 0.0000

=====

(2)
# SrBePb3 GGA-PBEsol relaxed
# magnetic moment	0.0	Bohr magnetons per cell
# space-group type	No. 221
# energy of formation	30	meV per atom
data_SrBePb3
_chemical_formula_sum 'Sr1 Be1 Pb3'
_cell_length_a 5.1747
_cell_length_b 5.1747
_cell_length_c 5.1747
_cell_angle_alpha 90.00
_cell_angle_beta 90.00
_cell_angle_gamma 90.00
_symmetry_space_group_name_H-M 'P 1'
_symmetry_Int_Tables_number 1
loop_
_symmetry_equiv_pos_as_xyz
'x,y,z'
loop_
_atom_site_label
_atom_site_type_symbol
_atom_site_fract_x
_atom_site_fract_y
_atom_site_fract_z
Pb1 Pb 0.0000 0.5000 0.0000
Pb2 Pb 0.0000 0.0000 0.5000
Pb3 Pb 0.5000 0.0000 0.0000
Sr1 Sr 0.5000 0.5000 0.5000
Be1 Be 0.0000 0.0000 0.0000